#one
First-principles (PBE) data for a relaxed structure of Dy2Y3Er7, as listed in Alexandria.

N(E_F) (states/eV per cell): 18.54

Cell: 3.582 5.645 18.892 Å, 98.59 90.00 90.00°
Atoms (fractional coordinates):
Er 0.000 0.000 0.000
Er 0.500 0.928 0.857
Er 0.000 0.769 0.539
Er 0.000 0.409 0.818
Er 0.500 0.072 0.143
Er 0.000 0.231 0.461
Er 0.000 0.591 0.182
Dy 0.000 0.853 0.706
Dy 0.000 0.147 0.294
Y 0.500 0.315 0.630
Y 0.500 0.500 0.000
Y 0.500 0.685 0.370


#two
First-principles (PBE) data for a relaxed structure of Dy2Y3Er7, as listed in Alexandria.

N(E_F) (states/eV per cell): 19.31

Cell: 5.477 6.143 11.979 Å, 92.43 90.00 90.00°
Atoms (fractional coordinates):
Er 0.000 0.568 0.821
Er 0.000 0.000 0.000
Er 0.500 0.233 0.453
Er 0.500 0.083 0.166
Er 0.000 0.432 0.179
Er 0.500 0.767 0.547
Er 0.500 0.917 0.834
Y 0.000 0.948 0.337
Y 0.000 0.052 0.663
Y 0.500 0.500 0.000
Dy 0.500 0.603 0.280
Dy 0.500 0.397 0.720


On energetic grounds, #one is preferred over the next structure by 212 meV per atom.